NdMgCd: optimized geometry, PBE.

Lattice parameters (Å, degrees): 3.5052 3.5052 12.8733 90.00 90.00 90.00
With the nearest neighbours (Å) after each atom.
Space group I4mm (No. 107)
Symmetry-distinct sites (fractional):
Nd  0.0000  0.0000  0.0000 (multiplicity 2)  4 Cd 3.35, 4 Mg 3.48, 4 Nd 3.51
Mg  0.0000  0.0000  0.6894 (multiplicity 2)  4 Cd 3.03
Cd  0.0000  0.0000  0.3254 (multiplicity 2)  4 Mg 3.03, 4 Nd 3.35

## Properties
**Electronic total energy**: -15.62 eV per cell

---

Nd2Mg15Cd2: optimized geometry, PBE.

Lattice parameters (Å, degrees): 10.2215 10.2215 15.1887 90.00 90.00 120.00
With the nearest neighbours (Å) after each atom.
Space group R-3m (No. 166, hexagonal axes)
Symmetry-distinct sites (fractional):
Nd  0.0000  0.0000  0.1735 (multiplicity 6)  1 Cd 3.45, 15 Mg 3.59-3.82
Mg  0.0000  0.3008  0.5000 (multiplicity 18)  8 Mg 2.98-3.18
Mg  0.0000  0.5000  0.0000 (multiplicity 9)  8 Mg 2.98-2.99, 2 Cd 3.12
Mg  0.0077  0.5038  0.6516 (multiplicity 18)  8 Mg 2.92-3.18, 1 Cd 3.27
Cd  0.0000  0.0000  0.4006 (multiplicity 6)  1 Cd 3.02, 6 Mg 3.12-3.27

## Properties
**Electronic total energy**: -110.62 eV per cell

---

NdMg15Cd4: optimized geometry, PBE.

Lattice parameters (Å, degrees): 4.6481 4.6481 21.2734 90.00 90.00 90.00
With the nearest neighbours (Å) after each atom.
Space group P4/mmm (No. 123)
Symmetry-distinct sites (fractional):
Nd  0.0000  0.0000  0.0000 (multiplicity 1)  12 Mg 3.29-3.31
Mg  0.0000  0.5000  0.1110 (multiplicity 4)  2 Cd 3.06, 8 Mg 3.13-3.31, 2 Nd 3.31
Mg  0.0000  0.5000  0.3040 (multiplicity 4)  8 Mg 3.07-3.29, 4 Cd 3.14-3.15
Mg  0.0000  0.5000  0.5000 (multiplicity 2)  4 Cd 3.10, 8 Mg 3.14-3.29
Mg  0.5000  0.5000  0.0000 (multiplicity 1)  4 Nd 3.29, 8 Mg 3.31
Mg  0.5000  0.5000  0.2099 (multiplicity 2)  8 Mg 3.07-3.13, 4 Cd 3.29
Mg  0.5000  0.5000  0.4010 (multiplicity 2)  8 Mg 3.11-3.14, 4 Cd 3.29
Cd  0.0000  0.0000  0.2047 (multiplicity 2)  12 Mg 3.06-3.29
Cd  0.0000  0.0000  0.4037 (multiplicity 2)  12 Mg 3.10-3.29

## Properties
**Electronic total energy**: -33.74 eV per cell

---

NdMg3Cd: optimized geometry, PBE.

Lattice parameters (Å, degrees): 7.0812 7.0812 5.9444 90.00 90.00 120.00
With the nearest neighbours (Å) after each atom.
Space group P6_3/mmc (No. 194)
Symmetry-distinct sites (fractional):
Nd  0.3333  0.6667  0.2500 (multiplicity 2)  12 Mg 3.43-3.56
Mg  0.1946  0.3891  0.7500 (multiplicity 6)  2 Cd 2.81, 2 Mg 2.95
Cd  0.0000  0.0000  0.0000 (multiplicity 2)  6 Mg 2.81, 2 Cd 2.97

## Properties
**Polymorph energy (0 for the lowest one)**: 86 meV per atom

---

Nd3Mg2Cd: optimized geometry, PBE.

Lattice parameters (Å, degrees): 3.8810 3.8810 11.6072 90.00 90.00 90.00
With the nearest neighbours (Å) after each atom.
Space group P4/mmm (No. 123)
Symmetry-distinct sites (fractional):
Nd  0.0000  0.0000  0.0000 (multiplicity 1)  8 Mg 3.35
Nd  0.0000  0.0000  0.3345 (multiplicity 2)  4 Cd 3.35, 4 Mg 3.38
Mg  0.5000  0.5000  0.1652 (multiplicity 2)  8 Nd 3.35-3.38
Cd  0.5000  0.5000  0.5000 (multiplicity 1)  8 Nd 3.35

## Properties
**Polymorph energy (0 for the lowest one)**: 4 meV per atom

---

NdMg3Cd9: optimized geometry, PBE.

Lattice parameters (Å, degrees): 6.0133 14.0302 7.6050 90.00 113.19 90.00
With the nearest neighbours (Å) after each atom.
Space group C2/m (No. 12)
Symmetry-distinct sites (fractional):
Nd  0.0000  0.0000  0.0000 (multiplicity 2)  14 Cd 3.45-3.81, 6 Mg 3.80-3.82
Mg  0.0000  0.0000  0.5000 (multiplicity 2)  10 Cd 2.91-3.06
Mg  0.2500  0.2500  0.0000 (multiplicity 4)  8 Cd 2.89-3.05, 2 Mg 3.01
Cd  0.0000  0.5000  0.5000 (multiplicity 2)  8 Cd 2.94-3.08, 2 Mg 3.01
Cd  0.1130  0.3921  0.2139 (multiplicity 8)  3 Mg 2.89-2.93, 6 Cd 2.94-3.23
Cd  0.1697  0.1749  0.3461 (multiplicity 8)  6 Cd 3.01-3.33, 3 Mg 3.03-3.06

## Properties
**Electronic total energy**: -40.02 eV per cell

---

NdMg4Cd2: optimized geometry, PBE.

Lattice parameters (Å, degrees): 9.5385 7.5313 5.8084 90.00 127.15 90.00
With the nearest neighbours (Å) after each atom.
Space group C2/m (No. 12)
Symmetry-distinct sites (fractional):
Nd  0.0000  0.0000  0.0000 (multiplicity 2)  12 Mg 3.26-3.58
Mg  0.1945  0.1955  0.6945 (multiplicity 8)  4 Mg 2.95-3.14, 4 Cd 3.08-3.11, 1 Nd 3.26
Cd  0.0017  0.5000  0.7524 (multiplicity 4)  2 Cd 2.90-2.91, 8 Mg 3.08-3.11

## Properties
**Polymorph energy (0 for the lowest one)**: 51 meV per atom

---

NdMg2Cd2: optimized geometry, PBE.

Lattice parameters (Å, degrees): 3.6276 3.6276 18.5431 90.00 90.00 90.00
With the nearest neighbours (Å) after each atom.
Space group I4/mmm (No. 139)
Symmetry-distinct sites (fractional):
Nd  0.0000  0.0000  0.0000 (multiplicity 2)  8 Cd 3.36, 4 Nd 3.63, 2 Mg 3.74
Mg  0.0000  0.0000  0.2018 (multiplicity 4)  5 Cd 3.01-3.35, 4 Mg 3.13
Cd  0.0000  0.0000  0.3826 (multiplicity 4)  5 Mg 3.01-3.35, 4 Nd 3.36

## Properties
**Polymorph energy (0 for the lowest one)**: 0 meV per atom

---

Nd2Mg3Cd4: optimized geometry, PBE.

Lattice parameters (Å, degrees): 6.1830 17.0895 8.5769 90.00 90.00 90.00
With the nearest neighbours (Å) after each atom.
Space group Cmce (No. 64)
Symmetry-distinct sites (fractional):
Nd  0.0000  0.0991  0.1002 (multiplicity 8)  7 Cd 3.41-3.50, 4 Mg 3.48-3.63, 1 Nd 3.80
Mg  0.0000  0.0000  0.5000 (multiplicity 4)  6 Cd 2.87-2.97
Mg  0.2500  0.2348  0.7500 (multiplicity 8)  5 Cd 2.90-2.97, 2 Mg 3.09
Cd  0.0000  0.1735  0.4801 (multiplicity 8)  5 Mg 2.96-2.97
Cd  0.2500  0.0653  0.7500 (multiplicity 8)  3 Mg 2.87-2.90, 2 Cd 3.09

## Properties
**Polymorph energy (0 for the lowest one)**: 41 meV per atom

---

Nd4MgCd7: optimized geometry, PBE.

Lattice parameters (Å, degrees): 15.6637 5.2107 9.6554 90.00 121.82 90.00
With the nearest neighbours (Å) after each atom.
Space group C2/m (No. 12)
Symmetry-distinct sites (fractional):
Nd  0.0648  0.0000  0.2402 (multiplicity 4)  8 Cd 3.16-3.44
Nd  0.2319  0.0000  0.7517 (multiplicity 4)  8 Cd 3.13-3.36
Mg  0.0000  0.5000  0.5000 (multiplicity 2)  2 Cd 2.61
Cd  0.0000  0.0000  0.5000 (multiplicity 2)  2 Mg 2.61
Cd  0.0939  0.5000  0.8548 (multiplicity 4)  1 Mg 2.93, 3 Cd 3.02-3.14
Cd  0.1777  0.0000  0.0332 (multiplicity 4)  3 Cd 3.02-3.14, 5 Nd 3.16-3.29
Cd  0.1897  0.5000  0.5045 (multiplicity 4)  1 Mg 2.95, 2 Cd 3.25, 2 Nd 3.29-3.30

## Properties
**Electronic total energy**: -58.21 eV per cell

---

Nd3Mg5Cd2: optimized geometry, PBE.

Lattice parameters (Å, degrees): 12.8388 13.4817 6.3985 90.00 90.00 90.00
With the nearest neighbours (Å) after each atom.
Space group Ibam (No. 72)
Symmetry-distinct sites (fractional):
Nd  0.0000  0.0000  0.2500 (multiplicity 4)  4 Cd 3.17, 2 Nd 3.20, 2 Mg 3.29
Nd  0.1260  0.2500  0.0000 (multiplicity 8)  3 Cd 3.26-3.47, 4 Mg 3.45-3.54
Mg  0.0000  0.5000  0.2500 (multiplicity 4)  8 Mg 2.98-3.20
Mg  0.1199  0.3530  0.5000 (multiplicity 8)  1 Cd 2.72, 4 Mg 2.98-3.00
Mg  0.2437  0.5000  0.2500 (multiplicity 8)  2 Cd 2.99, 5 Mg 3.00-3.20, 1 Nd 3.29
Cd  0.1414  0.1522  0.5000 (multiplicity 8)  3 Mg 2.72-2.99

## Properties
**Electronic total energy**: -98.15 eV per cell

---

Nd6Mg5Cd: optimized geometry, PBE.

Lattice parameters (Å, degrees): 5.4827 7.7707 8.6718 90.00 108.42 90.00
With the nearest neighbours (Å) after each atom.
Space group P2/m (No. 10)
Symmetry-distinct sites (fractional):
Nd  0.0000  0.2492  0.0000 (multiplicity 2)  2 Cd 3.36, 6 Mg 3.36-3.39
Nd  0.3327  0.2504  0.6679 (multiplicity 4)  7 Mg 3.34-3.36, 1 Cd 3.35
Mg  0.1689  0.5000  0.3346 (multiplicity 2)  8 Nd 3.36-3.37
Mg  0.1711  0.0000  0.3386 (multiplicity 2)  8 Nd 3.34-3.39
Mg  0.5000  0.5000  0.0000 (multiplicity 1)  8 Nd 3.35-3.36
Cd  0.5000  0.0000  0.0000 (multiplicity 1)  8 Nd 3.35-3.36

## Properties
**Electronic total energy**: -39.26 eV per cell

---

Nd3Mg3Cd: optimized geometry, PBE.

Lattice parameters (Å, degrees): 10.9908 10.8094 7.0876 90.00 90.00 90.00
With the nearest neighbours (Å) after each atom.
Space group C2/m (No. 12)
Symmetry-distinct sites (fractional):
Nd  0.0000  0.0000  0.2484 (multiplicity 4)  2 Cd 3.47-3.48, 6 Nd 3.52-3.86, 4 Mg 3.61-3.63
Nd  0.2500  0.2495  0.7472 (multiplicity 8)  2 Cd 3.23, 6 Mg 3.27-3.38, 2 Nd 3.50-3.58
Mg  0.0000  0.2938  0.0000 (multiplicity 4)  4 Mg 3.23-3.57, 4 Nd 3.31-3.32
Mg  0.0000  0.3314  0.5000 (multiplicity 4)  2 Cd 3.11, 4 Nd 3.37-3.38
Mg  0.2129  0.5000  0.9991 (multiplicity 4)  2 Mg 3.23, 6 Nd 3.27-3.62, 2 Cd 3.53-3.56
Cd  0.2288  0.5000  0.5010 (multiplicity 4)  2 Mg 3.11, 6 Nd 3.23-3.48

## Properties
**Electronic total energy**: -80.68 eV per cell

---

Nd3Mg2Cd7: optimized geometry, PBE.

Lattice parameters (Å, degrees): 6.0248 6.0248 28.5142 90.00 90.00 120.00
With the nearest neighbours (Å) after each atom.
Space group R-3m (No. 166, hexagonal axes)
Symmetry-distinct sites (fractional):
Nd  0.0000  0.0000  0.0000 (multiplicity 3)  6 Mg 3.48, 12 Cd 3.83
Nd  0.0000  0.0000  0.1393 (multiplicity 6)  12 Cd 3.41-3.59, 3 Nd 3.81
Mg  0.0000  0.0000  0.3343 (multiplicity 6)  6 Cd 2.94
Cd  0.0000  0.0000  0.5000 (multiplicity 3)  6 Cd 2.97
Cd  0.0065  0.5033  0.9168 (multiplicity 18)  2 Mg 2.94, 5 Cd 2.95-3.07

## Properties
**Electronic total energy**: -80.90 eV per cell

---

NdMg2Cd2: optimized geometry, PBE.

Lattice parameters (Å, degrees): 4.4857 4.4857 25.3010 90.00 90.00 90.00
With the nearest neighbours (Å) after each atom.
Space group I4/mmm (No. 139)
Symmetry-distinct sites (fractional):
Nd  0.0000  0.0000  0.1234 (multiplicity 4)  4 Cd 3.42, 4 Mg 3.48
Mg  0.0000  0.0000  0.3200 (multiplicity 4)  5 Cd 2.71-2.86
Mg  0.0000  0.5000  0.0000 (multiplicity 4)  4 Cd 2.90, 4 Mg 3.17
Cd  0.0000  0.0000  0.4271 (multiplicity 4)  5 Mg 2.71-2.90
Cd  0.0000  0.5000  0.2500 (multiplicity 4)  4 Mg 2.86, 4 Cd 3.17

## Properties
**Polymorph energy (0 for the lowest one)**: 40 meV per atom

---

Nd12MgCd3: optimized geometry, PBE.

Lattice parameters (Å, degrees): 5.0023 5.0023 19.9866 90.00 90.00 90.00
With the nearest neighbours (Å) after each atom.
Space group P4/mmm (No. 123)
Symmetry-distinct sites (fractional):
Nd  0.0000  0.0000  0.0000 (multiplicity 1)  8 Nd 3.52, 4 Cd 3.54
Nd  0.0000  0.0000  0.2490 (multiplicity 2)  8 Nd 3.53, 4 Cd 3.54
Nd  0.0000  0.0000  0.5000 (multiplicity 1)  4 Mg 3.54, 8 Nd 3.56
Nd  0.0000  0.5000  0.1243 (multiplicity 4)  4 Cd 3.52-3.53, 8 Nd 3.52-3.54
Nd  0.0000  0.5000  0.3733 (multiplicity 4)  8 Nd 3.53-3.56, 2 Cd 3.53, 2 Mg 3.56
Mg  0.5000  0.5000  0.5000 (multiplicity 1)  12 Nd 3.54-3.56
Cd  0.5000  0.5000  0.0000 (multiplicity 1)  12 Nd 3.52-3.54
Cd  0.5000  0.5000  0.2487 (multiplicity 2)  12 Nd 3.53-3.54

## Properties
**Electronic total energy**: -62.93 eV per cell

---

NdMg2Cd3: optimized geometry, PBE.

Lattice parameters (Å, degrees): 10.8480 8.8646 6.2332 90.00 90.00 90.00
With the nearest neighbours (Å) after each atom.
Space group Cmcm (No. 63)
Symmetry-distinct sites (fractional):
Nd  0.0000  0.1449  0.2500 (multiplicity 4)  7 Cd 3.23-3.52, 4 Mg 3.60
Mg  0.2250  0.5000  0.0000 (multiplicity 8)  6 Cd 2.84-3.12, 2 Mg 3.12
Cd  0.0000  0.4905  0.7500 (multiplicity 4)  4 Mg 2.90, 4 Cd 2.90-3.12, 1 Nd 3.23
Cd  0.1414  0.2124  0.7500 (multiplicity 8)  4 Mg 2.84-3.12, 2 Cd 2.90-3.07

## Properties
**Polymorph energy (0 for the lowest one)**: 74 meV per atom

---

Nd3Mg4Cd4: optimized geometry, PBE.

Lattice parameters (Å, degrees): 4.7032 7.8209 15.7052 90.00 90.00 90.00
With the nearest neighbours (Å) after each atom.
Space group Immm (No. 71)
Symmetry-distinct sites (fractional):
Nd  0.0000  0.0000  0.0000 (multiplicity 2)  6 Cd 3.36-3.46
Nd  0.0000  0.5000  0.1205 (multiplicity 4)  6 Cd 3.37-3.43, 6 Mg 3.46-3.57
Mg  0.0000  0.3065  0.3264 (multiplicity 8)  4 Cd 2.87-2.92, 1 Mg 3.03
Cd  0.0000  0.0000  0.2205 (multiplicity 4)  6 Mg 2.89-2.92
Cd  0.0000  0.1928  0.5000 (multiplicity 4)  2 Mg 2.87, 1 Cd 3.02

## Properties
**Polymorph energy (0 for the lowest one)**: 30 meV per atom

---

NdMgCd14: optimized geometry, PBE.

Lattice parameters (Å, degrees): 6.5880 6.5880 8.5803 90.00 90.00 90.00
With the nearest neighbours (Å) after each atom.
Space group P4/mmm (No. 123)
Symmetry-distinct sites (fractional):
Nd  0.0000  0.0000  0.0000 (multiplicity 1)  12 Cd 3.25-3.29
Mg  0.5000  0.5000  0.0000 (multiplicity 1)  12 Cd 3.16-3.29
Cd  0.0000  0.0000  0.5000 (multiplicity 1)  12 Cd 3.17-3.29
Cd  0.0000  0.5000  0.0000 (multiplicity 2)  8 Cd 3.21, 2 Mg 3.29, 2 Nd 3.29
Cd  0.0000  0.5000  0.5000 (multiplicity 2)  12 Cd 3.13-3.29
Cd  0.2564  0.2564  0.2565 (multiplicity 8)  10 Cd 3.09-3.38, 1 Mg 3.16, 1 Nd 3.25
Cd  0.5000  0.5000  0.5000 (multiplicity 1)  12 Cd 3.09-3.29

## Properties
**Electronic total energy**: -20.33 eV per cell

---

Nd2MgCd6: optimized geometry, PBE.

Lattice parameters (Å, degrees): 6.3260 6.3260 6.5097 90.00 90.00 120.00
With the nearest neighbours (Å) after each atom.
Space group P-3m1 (No. 164)
Symmetry-distinct sites (fractional):
Nd  0.3333  0.6667  0.3606 (multiplicity 2)  9 Cd 3.40-3.50, 3 Mg 3.76
Mg  0.0000  0.0000  0.5000 (multiplicity 1)  6 Cd 2.89
Cd  0.1763  0.3526  0.8294 (multiplicity 6)  1 Mg 2.89, 4 Cd 2.94-2.98

## Properties
**Electronic total energy**: -18.86 eV per cell

---

V per entry: 26.36; 24.11; 22.98; 25.82; 29.14; 22.68; 23.76; 24.40; 25.17; 27.90; 27.69; 29.21; 30.07; 24.90; 25.45; 31.26; 24.98; 26.26; 23.27; 25.07 A^3/atom
Theoretical density per entry: 5.90; 3.18; 3.46; 4.24; 5.64; 6.92; 4.66; 5.68; 5.94; 6.88; 4.67; 5.21; 4.88; 7.05; 5.45; 6.95; 5.87; 5.63; 7.77; 7.27 Mg/m³